*w*
Material: Sm6Er2In
Method: DFT, PBE
State: optimized geometry

Results
Density of states at the Fermi level: 27.24 states/eV/cell
Total magnetic moment: 0.0 μB per formula unit

Cell and atoms, written as POSCAR:
```
Sm6Er2In
1.0
10.734 0.000 0.000
0.000 10.734 0.000
0.000 0.000 4.948
Sm Er In
12 4 2
Cartesian
0.022 3.579 0.000
1.710 1.710 2.474
1.788 5.389 2.474
3.579 0.022 0.000
3.657 7.077 0.000
5.345 8.946 2.474
5.389 1.788 2.474
7.077 3.657 0.000
7.155 10.712 0.000
8.946 5.345 2.474
9.024 9.024 2.474
10.712 7.155 0.000
1.742 8.992 2.474
3.625 3.625 0.000
7.109 7.109 0.000
8.992 1.742 2.474
0.000 0.000 0.000
5.367 5.367 2.474
```

---

*x*
Material: Sm6Er2In
Method: DFT, PBE
State: optimized geometry

Results
Density of states at the Fermi level: 24.59 states/eV/cell
Total magnetic moment: 0.0 μB per formula unit

Cell and atoms, written as POSCAR:
```
Sm6Er2In
1.0
10.653 -3.127 0.000
10.653 3.127 0.000
-3.031 0.000 8.551
Sm Er In
12 4 2
Cartesian
6.921 2.089 0.720
6.900 2.022 7.392
9.859 2.022 5.435
6.878 0.921 4.026
12.869 2.089 3.556
12.912 0.921 0.250
5.362 -0.921 8.301
5.405 -2.089 4.996
11.396 -0.921 4.526
8.416 -2.022 3.116
11.374 -2.022 1.159
11.353 -2.089 7.831
3.790 1.053 5.943
5.305 -1.053 1.667
12.969 1.053 6.884
14.484 -1.053 2.609
9.895 1.062 2.138
8.379 -1.062 6.414
```

---

The structure with the greatest stability is *x*.

---

*w*
Material: SmEr3In3
Method: DFT, PBE
State: optimized geometry

Results
Density of states at the Fermi level: 24.82 states/eV/cell
Total magnetic moment: 0.0 μB per formula unit

Cell and atoms, written as POSCAR:
```
SmEr3In3
1.0
9.291 0.000 0.000
0.000 9.291 0.000
0.000 0.000 9.291
Sm Er In
4 12 12
Cartesian
0.469 4.177 5.114
4.177 5.114 0.469
5.114 0.469 4.177
8.822 8.822 8.822
1.073 5.718 8.217
1.563 1.563 1.563
1.847 7.443 2.798
2.798 1.847 7.443
3.083 7.728 6.208
3.572 3.572 3.572
5.718 8.217 1.073
6.208 3.083 7.728
6.493 6.493 6.493
7.443 2.798 1.847
7.728 6.208 3.083
8.217 1.073 5.718
0.053 7.410 5.586
0.941 4.592 1.881
1.881 0.941 4.592
2.765 8.350 9.238
3.705 4.698 6.526
4.592 1.881 0.941
4.698 6.526 3.705
5.586 0.053 7.410
6.526 3.705 4.698
7.410 5.586 0.053
8.350 9.238 2.765
9.238 2.765 8.350
```

---

*x*
Material: SmEr3In3
Method: DFT, PBE
State: optimized geometry

Results
Density of states at the Fermi level: 11.74 states/eV/cell
Total magnetic moment: 0.0 μB per formula unit

Cell and atoms, written as POSCAR:
```
SmEr3In3
1.0
9.339 0.000 0.000
-4.669 8.087 0.000
0.000 0.000 5.151
Sm Er In
2 6 6
Cartesian
0.000 5.392 1.288
4.669 2.696 3.863
-3.582 6.232 1.288
1.063 1.870 1.288
2.151 0.014 3.863
2.518 8.074 1.288
3.606 6.218 3.863
8.251 1.856 3.863
-2.227 4.999 3.863
1.454 3.659 3.863
3.896 0.570 1.288
0.773 7.517 3.863
3.215 4.428 1.288
6.897 3.089 1.288
```

---

The structure with the greatest stability is *x*.

---

*w*
Material: SmErIn6
Method: DFT, PBE
State: optimized geometry

Results
Density of states at the Fermi level: 3.89 states/eV/cell
Total magnetic moment: 0.0 μB per formula unit

Cell and atoms, written as POSCAR:
```
SmErIn6
1.0
6.628 0.000 0.000
-3.314 5.740 0.000
0.000 0.000 5.317
Sm Er In
1 1 6
Cartesian
0.000 0.000 0.000
3.314 1.913 2.659
-1.619 2.892 0.000
0.000 1.993 2.659
-1.588 4.743 2.659
1.619 2.892 0.000
0.000 5.696 0.000
1.588 4.743 2.659
```

---

*x*
Material: SmErIn6
Method: DFT, PBE
State: optimized geometry

Results
Density of states at the Fermi level: 2.80 states/eV/cell
Total magnetic moment: 0.0 μB per formula unit

Cell and atoms, written as POSCAR:
```
SmErIn6
1.0
4.654 0.000 0.000
0.000 4.654 0.000
0.000 0.000 9.303
Sm Er In
1 1 6
Cartesian
0.000 0.000 0.000
0.000 0.000 4.651
0.000 2.327 2.362
0.000 2.327 6.941
2.327 0.000 2.362
2.327 0.000 6.941
2.327 2.327 0.000
2.327 2.327 4.651
```

---

The structure with the greatest stability is *x*.

---

*w*
Material: Sm4ErIn2
Method: DFT, PBE
State: optimized geometry

Results
Density of states at the Fermi level: 16.02 states/eV/cell
Total magnetic moment: 0.0 μB per formula unit

Cell and atoms, written as POSCAR:
```
Sm4ErIn2
1.0
8.520 0.000 0.000
0.000 6.644 0.000
-4.207 0.000 7.518
Sm Er In
8 2 4
Cartesian
0.202 1.661 0.290
-0.761 4.983 2.933
2.633 3.345 2.018
2.633 6.621 2.018
1.680 0.023 5.500
1.680 3.299 5.500
5.074 1.661 4.586
4.110 4.983 7.229
-1.343 4.983 6.253
5.656 1.661 1.265
-0.338 1.661 3.466
-0.953 1.661 6.689
5.265 4.983 0.829
4.650 4.983 4.052
```

---

*x*
Material: Sm4ErIn2
Method: DFT, PBE
State: optimized geometry

Results
Density of states at the Fermi level: 15.60 states/eV/cell
Total magnetic moment: 0.0 μB per formula unit

Cell and atoms, written as POSCAR:
```
Sm4ErIn2
1.0
6.264 0.000 0.000
0.000 11.911 0.000
-3.374 0.000 5.766
Sm Er In
8 2 4
Cartesian
-0.969 2.510 2.297
-2.656 3.445 5.180
2.403 7.367 0.424
0.716 10.500 3.307
2.174 1.411 2.459
0.487 4.544 5.342
5.546 8.466 0.586
3.859 9.401 3.469
0.000 0.000 0.000
-1.687 5.956 2.883
0.010 1.355 5.141
1.697 4.601 2.259
1.193 7.311 3.507
2.880 10.556 0.624
```

---

The structure with the greatest stability is *w*.